(1)
Computed, not measured: Tb2ZrP3 after structural relaxation at the PBE level of DFT.

extended XYZ file:
```
6
Lattice="-2.101 -3.273 -0.569 0.701 0.221 -3.861 7.560 -3.047 3.201" Properties=species:S:1:pos:R:3 pbc="T T T"
Tb 1.424 -0.938 0.211
Tb 3.015 -3.991 -1.675
Zr 6.000 -3.987 0.867
P 5.300 -5.513 -1.348
P 3.784 -2.511 0.550
P 0.656 -2.418 -2.014
```

Properties
calculated density: 6.5 Mg/m³
symmetry: I4/mmm (139)
energy of formation: -1494 meV per atom
DFT total energy: -7.167 eV/atom

=====

(2)
Computed, not measured: TbZr2P3 after structural relaxation at the PBE level of DFT.

extended XYZ file:
```
6
Lattice="3.672 0.000 -1.040 -0.568 5.011 -2.005 -0.104 -0.296 6.633" Properties=species:S:1:pos:R:3 pbc="T T T"
Tb -0.284 2.505 -1.003
Zr 2.307 0.718 1.142
Zr 0.693 3.996 2.446
P 0.941 1.436 3.323
P 0.000 0.000 0.000
P 2.058 3.278 0.265
```

Properties
calculated density: 6.1 Mg/m³
symmetry: Immm (71)
energy of formation: -1418 meV per atom
DFT total energy: -7.744 eV/atom

=====

(3)
Computed, not measured: TbZrP2 after structural relaxation at the PBE level of DFT.

extended XYZ file:
```
4
Lattice="3.803 0.000 0.000 1.901 3.293 0.000 1.901 1.098 6.680" Properties=species:S:1:pos:R:3 pbc="T T T"
Tb 3.803 2.195 3.424
Zr 5.704 3.293 6.604
P 1.901 1.098 5.138
P 1.901 1.098 1.534
```

Properties
calculated density: 6.2 Mg/m³
excess energy over the best structure of this formula in the dataset: 11.8 kJ per mole of atoms
symmetry: R3m (160)
energy of formation: -1363 meV per atom
DFT total energy: -7.362 eV/atom

=====

(4)
Computed, not measured: TcP after structural relaxation at the PBE level of DFT.

extended XYZ file:
```
6
Lattice="1.287 -1.909 -5.130 3.569 -0.195 -4.341 3.205 -4.494 0.493" Properties=species:S:1:pos:R:3 pbc="T T T"
Tc 2.585 -2.041 -3.040
Tc 1.746 -2.241 -0.181
Tc 3.513 -1.580 -6.725
P 0.303 -0.314 -0.195
P 5.245 -4.133 -6.188
P 4.075 -3.987 -3.122
```

Properties
calculated density: 7.7 Mg/m³
excess energy over the best structure of this formula in the dataset: 23.4 kJ per mole of atoms
symmetry: Cm (8)
energy of formation: -326 meV per atom
DFT total energy: -8.214 eV/atom

=====

(5)
Computed, not measured: TcP4 after structural relaxation at the PBE level of DFT.

extended XYZ file:
```
5
Lattice="0.071 -4.588 1.552 3.848 2.359 1.759 -4.057 2.159 1.531" Properties=species:S:1:pos:R:3 pbc="T T T"
Tc 0.000 0.000 0.000
P 0.036 -2.294 0.776
P -0.069 -0.035 2.421
P 1.924 1.180 0.879
P -2.028 1.080 0.765
```

Properties
calculated density: 4.2 Mg/m³
excess energy over the best structure of this formula in the dataset: 94.7 kJ per mole of atoms
symmetry: Im-3m (229)
energy of formation: 571 meV per atom
DFT total energy: -5.830 eV/atom

=====

(6)
Computed, not measured: TcP after structural relaxation at the PBE level of DFT.

extended XYZ file:
```
8
Lattice="4.815 0.000 0.000 0.000 4.815 0.000 0.000 0.000 4.815" Properties=species:S:1:pos:R:3 pbc="T T T"
P 2.771 2.771 2.043
P 4.451 2.043 4.451
P 2.043 0.364 0.364
P 0.364 4.451 2.771
Tc 4.129 4.129 0.686
Tc 3.093 0.686 3.093
Tc 0.686 1.721 1.721
Tc 1.721 3.093 4.129
```

Properties
calculated density: 7.7 Mg/m³
excess energy over the best structure of this formula in the dataset: 1.3 kJ per mole of atoms
symmetry: P2_13 (198)
energy of formation: -555 meV per atom
DFT total energy: -8.443 eV/atom

=====

Look up the calculated density of the first one. 6.5 Mg/m³

=====

The lowest DFT total energy belongs to which entry? number 6

=====

The lowest energy of formation belongs to which entry? Tb2ZrP3